*A*
A relaxed Nd3SmRu crystal, computed with PBE.

The total magnetization comes out at 0.00 μB/f.u.

It has space group Ima2 (No. 46), with a = 9.403 Å, b = 7.529 Å, c = 9.023 Å, α = 90.00°, β = 90.00° and γ = 90.00°. The asymmetric unit holds Nd at (0.042, 0.249, 0.000), Nd at (0.250, 0.521, 0.751), Sm at (0.250, 0.525, 0.249) and Ru at (0.250, 0.748, 0.500).

=====

*B*
A relaxed Nd3SmRu crystal, computed with PBE.

The total magnetization comes out at 0.82 μB/f.u.

It has space group Pm-3m (No. 221), with a = 5.545 Å, b = 5.545 Å, c = 5.545 Å, α = 90.00°, β = 90.00° and γ = 90.00°. The asymmetric unit holds Nd at (0.000, 0.000, 0.500), Sm at (0.500, 0.500, 0.500) and Ru at (0.000, 0.000, 0.000).

=====

*C*
A relaxed Nd3SmRu crystal, computed with PBE.

The total magnetization comes out at 0.00 μB/f.u.

It has space group C2/m (No. 12), with a = 12.103 Å, b = 8.763 Å, c = 8.447 Å, α = 90.00°, β = 134.09° and γ = 90.00°. The asymmetric unit holds Nd at (0.050, 0.000, 0.343), Nd at (0.248, 0.301, 0.792), Sm at (0.049, 0.500, 0.253) and Ru at (0.249, 0.500, 0.130).

=====

*C* is preferred energetically. Next in line: 53 meV/atom higher.

=====

*A*
A relaxed NdSm2Ru crystal, computed with PBE.

The total magnetization comes out at 0.01 μB/f.u.

It has space group R-3m (No. 166, hexagonal axes), with a = 3.7183 Å, b = 3.7183 Å, c = 31.9101 Å, α = 90.00°, β = 90.00° and γ = 120.00°. The asymmetric unit holds Nd at (0.0000, 0.0000, 0.0000), Sm at (0.0000, 0.0000, 0.1115) and Ru at (0.0000, 0.0000, 0.5000).

=====

*B*
A relaxed NdSm2Ru crystal, computed with PBE.

The total magnetization comes out at 0.00 μB/f.u.

It has space group Pnma (No. 62), with a = 7.400 Å, b = 9.600 Å, c = 6.465 Å, α = 90.00°, β = 90.00° and γ = 90.00°. The asymmetric unit holds Nd at (0.042, 0.250, 0.141), Sm at (0.176, 0.067, 0.670) and Ru at (0.114, 0.750, 0.447).

=====

*B* is preferred energetically. Next in line: 377 meV/atom higher.

=====

*A*
A relaxed NdSmTlRu crystal, computed with PBE.

The total magnetization comes out at 0.00 μB/f.u.

It has space group P4mm (No. 99), with a = 3.456 Å, b = 3.456 Å, c = 8.655 Å, α = 90.00°, β = 90.00° and γ = 90.00°. The asymmetric unit holds Nd at (0.000, 0.000, 0.000), Sm at (0.000, 0.000, 0.598), Tl at (0.500, 0.500, 0.302) and Ru at (0.500, 0.500, 0.795).

=====

*B*
A relaxed NdSmTlRu crystal, computed with PBE.

The total magnetization comes out at 0.00 μB/f.u.

It has space group F-43m (No. 216), with a = 7.383 Å, b = 7.383 Å, c = 7.383 Å, α = 90.00°, β = 90.00° and γ = 90.00°. The asymmetric unit holds Nd at (0.000, 0.000, 0.000), Sm at (0.000, 0.000, 0.500), Tl at (0.250, 0.250, 0.750) and Ru at (0.250, 0.250, 0.250).

=====

*A* is preferred energetically. Next in line: 132 meV/atom higher.

=====

*A*
A relaxed NdSmZnRu crystal, computed with PBE.

The total magnetization comes out at 0.00 μB/f.u.

It has space group Amm2 (No. 38), with a = 4.355 Å, b = 4.078 Å, c = 10.788 Å, α = 90.00°, β = 90.00° and γ = 90.00°. The asymmetric unit holds Nd at (0.000, 0.000, 0.000), Sm at (0.500, 0.000, 0.720), Zn at (0.500, 0.000, 0.426) and Ru at (0.000, 0.000, 0.286).

=====

*B*
A relaxed NdSmZnRu crystal, computed with PBE.

The total magnetization comes out at 0.00 μB/f.u.

It has space group F-43m (No. 216), with a = 7.147 Å, b = 7.147 Å, c = 7.147 Å, α = 90.00°, β = 90.00° and γ = 90.00°. The asymmetric unit holds Nd at (0.000, 0.000, 0.000), Sm at (0.000, 0.000, 0.500), Zn at (0.250, 0.250, 0.750) and Ru at (0.250, 0.250, 0.250).

=====

*A* is preferred energetically. Next in line: 15 meV/atom higher.

=====

*A*
A relaxed SrNdRu crystal, computed with PBE.

The total magnetization comes out at 0.00 μB/f.u.

It has space group I4mm (No. 107), with a = 3.590 Å, b = 3.590 Å, c = 13.917 Å, α = 90.00°, β = 90.00° and γ = 90.00°. The asymmetric unit holds Sr at (0.000, 0.000, 0.000), Nd at (0.000, 0.000, 0.248) and Ru at (0.000, 0.000, 0.643).

=====

*B*
A relaxed SrNdRu crystal, computed with PBE.

The total magnetization comes out at 0.00 μB/f.u.

It has space group P2_1/c (No. 14), with a = 7.610 Å, b = 10.053 Å, c = 5.049 Å, α = 90.00°, β = 109.27° and γ = 90.00°. The asymmetric unit holds Sr at (0.215, 0.124, 0.108), Nd at (0.299, 0.625, 0.150) and Ru at (0.497, 0.125, 0.749).

=====

*B* is preferred energetically. Next in line: 14 meV/atom higher.

=====

*A*
A relaxed SrNd2Ru crystal, computed with PBE.

The total magnetization comes out at 0.00 μB/f.u.

It has space group R-3m (No. 166, hexagonal axes), with a = 4.1777 Å, b = 4.1777 Å, c = 28.9678 Å, α = 90.00°, β = 90.00° and γ = 120.00°. The asymmetric unit holds Sr at (0.0000, 0.0000, 0.0000), Nd at (0.0000, 0.0000, 0.2172) and Ru at (0.0000, 0.0000, 0.5000).

=====

*B*
A relaxed SrNd2Ru crystal, computed with PBE.

The total magnetization comes out at 0.00 μB/f.u.

It has space group P4/mmm (No. 123), with a = 3.568 Å, b = 3.568 Å, c = 10.257 Å, α = 90.00°, β = 90.00° and γ = 90.00°. The asymmetric unit holds Sr at (0.000, 0.000, 0.000), Nd at (0.500, 0.500, 0.336) and Ru at (0.000, 0.000, 0.500).

=====

*A* is preferred energetically. Next in line: 6 meV/atom higher.

=====

*A*
A relaxed TbNd3Ru crystal, computed with PBE.

The total magnetization comes out at 0.02 μB/f.u.

It has space group Pm-3m (No. 221), with a = 5.532 Å, b = 5.532 Å, c = 5.532 Å, α = 90.00°, β = 90.00° and γ = 90.00°. The asymmetric unit holds Tb at (0.000, 0.000, 0.000), Nd at (0.000, 0.500, 0.500) and Ru at (0.500, 0.500, 0.500).

=====

*B*
A relaxed TbNd3Ru crystal, computed with PBE.

The total magnetization comes out at 0.00 μB/f.u.

It has space group Ima2 (No. 46), with a = 9.465 Å, b = 7.555 Å, c = 8.859 Å, α = 90.00°, β = 90.00° and γ = 90.00°. The asymmetric unit holds Tb at (0.250, 0.028, 0.000), Nd at (0.041, 0.749, 0.752), Nd at (0.250, 0.019, 0.503) and Ru at (0.250, 0.246, 0.252).

=====

*B* is preferred energetically. Next in line: 166 meV/atom higher.

=====

*A*
A relaxed NdTh2Ru crystal, computed with PBE.

The total magnetization comes out at 0.00 μB/f.u.

It has space group P4/mmm (No. 123), with a = 3.636 Å, b = 3.636 Å, c = 8.495 Å, α = 90.00°, β = 90.00° and γ = 90.00°. The asymmetric unit holds Nd at (0.000, 0.000, 0.000), Th at (0.500, 0.500, 0.306) and Ru at (0.000, 0.000, 0.500).

=====

*B*
A relaxed NdTh2Ru crystal, computed with PBE.

The total magnetization comes out at 0.00 μB/f.u.

It has space group R3m (No. 160, hexagonal axes), with a = 3.9784 Å, b = 3.9784 Å, c = 27.3464 Å, α = 90.00°, β = 90.00° and γ = 120.00°. The asymmetric unit holds Nd at (0.0000, 0.0000, 0.0000), Th at (0.0000, 0.0000, 0.5592), Th at (0.0000, 0.0000, 0.7743) and Ru at (0.0000, 0.0000, 0.1659).

=====

*B* is preferred energetically. Next in line: 73 meV/atom higher.

=====

*A*
A relaxed Nd2ThRu crystal, computed with PBE.

The total magnetization comes out at 0.00 μB/f.u.

It has space group Pnma (No. 62), with a = 7.305 Å, b = 10.014 Å, c = 6.511 Å, α = 90.00°, β = 90.00° and γ = 90.00°. The asymmetric unit holds Nd at (0.172, 0.067, 0.174), Th at (0.051, 0.250, 0.666) and Ru at (0.133, 0.750, 0.980).

=====

*B*
A relaxed Nd2ThRu crystal, computed with PBE.

The total magnetization comes out at 0.00 μB/f.u.

It has space group R-3m (No. 166, hexagonal axes), with a = 3.5187 Å, b = 3.5187 Å, c = 33.0489 Å, α = 90.00°, β = 90.00° and γ = 120.00°. The asymmetric unit holds Nd at (0.0000, 0.0000, 0.1057), Th at (0.0000, 0.0000, 0.0000) and Ru at (0.0000, 0.0000, 0.5000).

=====

*A* is preferred energetically. Next in line: 523 meV/atom higher.

=====

*A*
A relaxed Nd3Tl2Ru crystal, computed with PBE.

The total magnetization comes out at 0.00 μB/f.u.

It has space group P2_1/m (No. 11), with a = 5.454 Å, b = 7.316 Å, c = 9.048 Å, α = 90.00°, β = 107.43° and γ = 90.00°. The asymmetric unit holds Nd at (0.001, 0.250, 0.000), Nd at (0.369, 0.000, 0.737), Tl at (0.194, 0.250, 0.387), Tl at (0.194, 0.750, 0.387) and Ru at (0.499, 0.750, 0.000).

=====

*B*
A relaxed Nd3Tl2Ru crystal, computed with PBE.

The total magnetization comes out at 0.00 μB/f.u.

It has space group C2/m (No. 12), with a = 8.014 Å, b = 11.078 Å, c = 8.212 Å, α = 90.00°, β = 99.83° and γ = 90.00°. The asymmetric unit holds Nd at (0.172, 0.000, 0.168), Nd at (0.226, 0.181, 0.775), Tl at (0.000, 0.000, 0.500), Tl at (0.000, 0.365, 0.500), Tl at (0.000, 0.500, 0.000) and Ru at (0.000, 0.207, 0.000).

=====

*A* is preferred energetically. Next in line: 26 meV/atom higher.

=====

*A*
A relaxed Nd2TmRu crystal, computed with PBE.

The total magnetization comes out at 0.00 μB/f.u.

It has space group R-3m (No. 166, hexagonal axes), with a = 3.5864 Å, b = 3.5864 Å, c = 32.0554 Å, α = 90.00°, β = 90.00° and γ = 120.00°. The asymmetric unit holds Nd at (0.0000, 0.0000, 0.1058), Tm at (0.0000, 0.0000, 0.0000) and Ru at (0.0000, 0.0000, 0.5000).

=====

*B*
A relaxed Nd2TmRu crystal, computed with PBE.

The total magnetization comes out at 0.43 μB/f.u.

It has space group P4/mmm (No. 123), with a = 3.516 Å, b = 3.516 Å, c = 9.113 Å, α = 90.00°, β = 90.00° and γ = 90.00°. The asymmetric unit holds Nd at (0.000, 0.000, 0.189), Tm at (0.500, 0.500, 0.500) and Ru at (0.500, 0.500, 0.000).

=====

*C*
A relaxed Nd2TmRu crystal, computed with PBE.

The total magnetization comes out at 0.00 μB/f.u.

It has space group Cmcm (No. 63), with a = 4.033 Å, b = 11.993 Å, c = 9.296 Å, α = 90.00°, β = 90.00° and γ = 90.00°. The asymmetric unit holds Nd at (0.000, 0.140, 0.068), Tm at (0.000, 0.419, 0.250) and Ru at (0.000, 0.238, 0.750).

=====

*D*
A relaxed Nd2TmRu crystal, computed with PBE.

The total magnetization comes out at 0.00 μB/f.u.

It has space group Pnma (No. 62), with a = 7.360 Å, b = 9.597 Å, c = 6.367 Å, α = 90.00°, β = 90.00° and γ = 90.00°. The asymmetric unit holds Nd at (0.178, 0.065, 0.171), Tm at (0.044, 0.250, 0.645) and Ru at (0.116, 0.750, 0.964).

=====

*D* is preferred energetically. Next in line: 21 meV/atom higher.